Record 1
Material: Nb2Pt3
Method: DFT, PBE
State: relaxed

Output
Energy above the most stable polymorph in this dataset: 0 meV per atom
DFT formation energy: -0.67 eV per atom
E_tot: -8.32 eV/atom
D(E_F): 3.416 states/eV/f.u.
Spin magnetization: 0.0 μB per cell
Space-group type: Immm, No. 71

abc: 2.8260 4.0445 7.5787
angles: 105.48 100.75 90.00
Closest atoms and distances in Å follow each position.
Fractional positions:
Nb 0.6062 0.6062 0.2125  9 Pt 2.79-2.90, 3 Nb 2.83-3.04
Nb 0.3938 0.3938 0.7875  9 Pt 2.79-2.90, 3 Nb 2.83-3.04
Pt 0.0000 0.0000 0.0000  4 Pt 2.83, 8 Nb 2.90
Pt 0.1977 0.1977 0.3954  5 Nb 2.79-2.81, 7 Pt 2.83-2.89
Pt 0.8023 0.8023 0.6046  5 Nb 2.79-2.81, 7 Pt 2.83-2.89

=====

Record 2
Material: ZnRe2As
Method: DFT, PBE
State: relaxed

Output
Energy above the most stable polymorph in this dataset: 450 meV per atom
DFT formation energy: 0.59 eV per atom
E_tot: -7.11 eV/atom
D(E_F): 2.006 states/eV/f.u.
Spin magnetization: 0.0 μB per cell
Space-group type: I-42d, No. 122

abc: 3.8510 3.8510 9.5033
angles: 78.31 78.31 90.00
Closest atoms and distances in Å follow each position.
Fractional positions:
As 0.7500 0.2500 0.5000  4 Zn 2.72, 4 Re 2.73
As 0.0000 0.0000 0.0000  4 Zn 2.72, 4 Re 2.73
Re 0.5727 0.1250 0.2500  2 Re 2.45, 2 Zn 2.59, 2 As 2.73
Re 0.1773 0.6250 0.2500  2 Re 2.45, 2 Zn 2.59, 2 As 2.73
Re 0.3750 0.4273 0.7500  2 Re 2.45, 2 Zn 2.59, 2 As 2.73
Re 0.8750 0.8227 0.7500  2 Re 2.45, 2 Zn 2.59, 2 As 2.73
Zn 0.5000 0.5000 0.0000  4 Re 2.59, 4 As 2.72
Zn 0.2500 0.7500 0.5000  4 Re 2.59, 4 As 2.72

=====

Record 3
Material: CaDy14Tm
Method: DFT, PBE
State: relaxed

Output
DFT formation energy: 0.03 eV per atom
E_tot: -4.40 eV/atom
D(E_F): 25.815 states/eV/f.u.
Spin magnetization: 0.0 μB per cell
Space-group type: Amm2, No. 38

abc: 7.2553 7.2553 11.2817
angles: 90.00 90.00 119.97
Closest atoms and distances in Å follow each position.
Fractional positions:
Dy 0.8358 0.6711 0.2531  10 Dy 3.48-3.68, 1 Tm 3.53, 1 Ca 3.56
Dy 0.8356 0.1644 0.2536  11 Dy 3.47-3.68, 1 Ca 3.56
Dy 0.1665 0.3344 0.0000  8 Dy 3.48-3.64, 2 Tm 3.62-3.64, 2 Ca 3.62-3.63
Dy 0.3289 0.1642 0.7469  10 Dy 3.48-3.68, 1 Tm 3.53, 1 Ca 3.56
Dy 0.3333 0.6667 0.7531  11 Dy 3.48-3.63, 1 Tm 3.48
Dy 0.6669 0.3331 0.5000  12 Dy 3.50-3.63
Dy 0.3289 0.1642 0.2531  10 Dy 3.48-3.68, 1 Tm 3.53, 1 Ca 3.56
Dy 0.3333 0.6667 0.2469  11 Dy 3.48-3.63, 1 Tm 3.48
Dy 0.6669 0.8333 0.5000  12 Dy 3.47-3.63
Dy 0.1667 0.3331 0.5000  12 Dy 3.47-3.63
Dy 0.8356 0.1644 0.7464  11 Dy 3.47-3.68, 1 Ca 3.56
Dy 0.1669 0.8331 0.5000  12 Dy 3.48-3.63
Dy 0.8358 0.6711 0.7469  10 Dy 3.48-3.68, 1 Tm 3.53, 1 Ca 3.56
Dy 0.6656 0.8335 0.0000  8 Dy 3.48-3.64, 2 Tm 3.62-3.64, 2 Ca 3.62-3.63
Ca 0.6665 0.3335 0.0000  10 Dy 3.56-3.63, 2 Tm 3.63
Tm 0.1669 0.8331 0.0000  10 Dy 3.48-3.64, 2 Ca 3.63

=====

Record 4
Material: Na3Sn6Au5
Method: DFT, PBE
State: relaxed

Output
DFT formation energy: -0.25 eV per atom
E_tot: -3.42 eV/atom
D(E_F): 5.155 states/eV/f.u.
Spin magnetization: 0.0 μB per cell
Space-group type: Pmmn, No. 59

abc: 4.5957 10.3978 14.0852
angles: 90.00 90.00 90.00
Closest atoms and distances in Å follow each position.
Fractional positions:
Au 0.5000 0.8506 0.8393  5 Sn 2.75-2.88
Au 0.0000 0.2005 0.0000  6 Sn 2.94-2.99, 2 Au 3.15
Au 0.5000 0.5411 0.6166  5 Sn 2.79-2.95
Au 0.5000 0.7995 0.5000  6 Sn 2.94-2.99, 2 Au 3.15
Au 0.5000 0.5411 0.3834  5 Sn 2.79-2.95
Au 0.0000 0.4589 0.1166  5 Sn 2.79-2.95
Au 0.0000 0.4589 0.8834  5 Sn 2.79-2.95
Au 0.0000 0.1494 0.6607  5 Sn 2.75-2.88
Au 0.5000 0.8506 0.1607  5 Sn 2.75-2.88
Au 0.0000 0.1494 0.3393  5 Sn 2.75-2.88
Sn 0.5000 0.0168 0.0000  4 Au 2.85-2.99
Sn 0.0000 0.9832 0.5000  4 Au 2.85-2.99
Sn 0.5000 0.5875 0.8230  4 Au 2.75-2.95
Sn 0.5000 0.3807 0.0000  6 Au 2.94-2.96, 2 Na 3.18, 2 Sn 3.29
Sn 0.0000 0.0174 0.1593  4 Au 2.88-2.94, 2 Sn 3.21
Sn 0.5000 0.9826 0.3407  4 Au 2.88-2.94, 2 Sn 3.21
Sn 0.0000 0.0174 0.8407  4 Au 2.88-2.94, 2 Sn 3.21
Sn 0.5000 0.9826 0.6593  4 Au 2.88-2.94, 2 Sn 3.21
Sn 0.0000 0.4125 0.6770  4 Au 2.75-2.95
Sn 0.0000 0.6193 0.5000  6 Au 2.94-2.96, 2 Na 3.18, 2 Sn 3.29
Sn 0.0000 0.4125 0.3230  4 Au 2.75-2.95
Sn 0.5000 0.5875 0.1770  4 Au 2.75-2.95
Na 0.0000 0.7516 0.7035  4 Au 3.16-3.40, 6 Sn 3.18-3.38
Na 0.5000 0.2656 0.5000  6 Au 3.30-3.44
Na 0.0000 0.7516 0.2965  4 Au 3.16-3.40, 6 Sn 3.18-3.38
Na 0.5000 0.2484 0.7965  4 Au 3.16-3.40, 6 Sn 3.18-3.38
Na 0.5000 0.2484 0.2035  4 Au 3.16-3.40, 6 Sn 3.18-3.38
Na 0.0000 0.7344 0.0000  6 Au 3.30-3.44

=====

Record 5
Material: LaMgZn17
Method: DFT, PBE
State: relaxed

Output
DFT formation energy: -0.13 eV per atom
E_tot: -1.62 eV/atom
D(E_F): 3.863 states/eV/f.u.
Spin magnetization: 0.0 μB per cell
Space-group type: R3m, No. 160

abc: 6.8496 6.8496 6.8496
angles: 82.63 82.63 82.63
Closest atoms and distances in Å follow each position.
Fractional positions:
Zn 0.9036 0.9036 0.9036  13 Zn 2.71-2.98
Zn 0.6950 0.2932 0.0044  8 Zn 2.60-2.80
Zn 0.9888 0.9888 0.5025  10 Zn 2.60-2.77
Zn 0.2932 0.0044 0.6950  8 Zn 2.60-2.80
Zn 0.3467 0.8474 0.3467  9 Zn 2.59-2.78
Zn 0.8474 0.3467 0.3467  9 Zn 2.59-2.78
Zn 0.2932 0.6950 0.0044  8 Zn 2.60-2.80
Zn 0.6464 0.1639 0.6464  8 Zn 2.59-2.78
Zn 0.6464 0.6464 0.1639  8 Zn 2.59-2.78
Zn 0.1639 0.6464 0.6464  8 Zn 2.59-2.78
Zn 0.0044 0.2932 0.6950  8 Zn 2.60-2.80
Zn 0.3467 0.3467 0.8474  9 Zn 2.59-2.78
Zn 0.1077 0.1077 0.1077  7 Zn 2.71-2.78
Zn 0.9888 0.5025 0.9888  10 Zn 2.60-2.77
Zn 0.6950 0.0044 0.2932  8 Zn 2.60-2.80
Zn 0.0044 0.6950 0.2932  8 Zn 2.60-2.80
Zn 0.5025 0.9888 0.9888  10 Zn 2.60-2.77
Mg 0.3659 0.3659 0.3659  12 Zn 2.98-3.27
La 0.6599 0.6599 0.6599  19 Zn 3.23-3.43

=====

Record 6
Material: EuHoAlCu
Method: DFT, PBE
State: relaxed

Output
DFT formation energy: -0.17 eV per atom
E_tot: -5.85 eV/atom
D(E_F): 6.475 states/eV/f.u.
Spin magnetization: 6.8 μB per cell
Space-group type: F-43m, No. 216

abc: 5.1263 5.1263 5.1263
angles: 60.00 60.00 60.00
Closest atoms and distances in Å follow each position.
Fractional positions:
Cu 0.2500 0.2500 0.2500  4 Eu 3.14, 4 Ho 3.14
Al 0.7500 0.7500 0.7500  4 Ho 3.14, 4 Eu 3.14
Ho 0.5000 0.5000 0.5000  4 Cu 3.14, 4 Al 3.14
Eu 0.0000 0.0000 0.0000  4 Al 3.14, 4 Cu 3.14

=====

Record 7
Material: BaBiS2
Method: DFT, PBE
State: relaxed

Output
Energy above the most stable polymorph in this dataset: 65 meV per atom
E_tot: -4.45 eV/atom
D(E_F): 1.874 states/eV/f.u.
Spin magnetization: 0.0 μB per cell
Space-group type: R3m, No. 160

abc: 4.4951 4.4951 7.3101
angles: 72.09 72.09 60.00
Closest atoms and distances in Å follow each position.
Fractional positions:
S 0.0689 0.0689 0.7934  3 Bi 2.91
S 0.2610 0.2610 0.2169  3 Bi 3.04, 3 Ba 3.26
Ba 0.4984 0.4984 0.5047  6 S 3.26, 1 Bi 3.55
Bi 0.6717 0.6717 0.9850  6 S 2.91-3.04

=====

Record 8
Material: BaTaTc2
Method: DFT, PBE
State: relaxed

Output
Energy above the most stable polymorph in this dataset: 0 meV per atom
DFT formation energy: 0.45 eV per atom
E_tot: -8.18 eV/atom
D(E_F): 4.643 states/eV/f.u.
Spin magnetization: 0.0 μB per cell
Space-group type: P4/mmm, No. 123

abc: 3.2708 3.2708 7.9733
angles: 90.00 90.00 90.00
Closest atoms and distances in Å follow each position.
Fractional positions:
Ba 0.5000 0.5000 0.2500  4 Ba 3.27, 8 Tc 3.46
Tc 0.0000 0.0000 0.5732  4 Ta 2.71, 1 Tc 2.82
Tc 0.0000 0.0000 0.9268  4 Ta 2.71, 1 Tc 2.82
Ta 0.5000 0.5000 0.7500  8 Tc 2.71

=====

Record 9
Material: La2SiNi
Method: DFT, PBE
State: relaxed

Output
E_tot: -5.61 eV/atom
D(E_F): 3.325 states/eV/f.u.
Spin magnetization: 0.0 μB per cell
Space-group type: Cmmm, No. 65

abc: 4.9875 4.9875 3.8679
angles: 90.01 90.01 87.99
Closest atoms and distances in Å follow each position.
Fractional positions:
Ni 0.5000 0.0000 0.5000  8 La 3.16, 2 Si 3.46
Si 0.0000 0.5000 0.5000  8 La 3.16, 2 Ni 3.46
La 0.0000 0.0000 0.0000  4 Si 3.16, 4 Ni 3.16, 2 La 3.46
La 0.5000 0.5000 0.0000  4 Ni 3.16, 4 Si 3.16, 2 La 3.46

=====

Record 10
Material: KPa2Se4
Method: DFT, PBE
State: relaxed

Output
Energy above the most stable polymorph in this dataset: 63 meV per atom
E_tot: -6.14 eV/atom
D(E_F): 11.589 states/eV/f.u.
Spin magnetization: 6.0 μB per cell
Space-group type: I-42d, No. 122

abc: 8.6830 8.6830 8.6830
angles: 117.90 93.67 117.90
Closest atoms and distances in Å follow each position.
Fractional positions:
Pa 0.3757 0.7507 0.1250  6 Se 2.90-2.91
Pa 0.3743 0.2493 0.6250  6 Se 2.90-2.91
Pa 0.3750 0.7493 0.6243  6 Se 2.90-2.91
Pa 0.8750 0.2507 0.6257  6 Se 2.90-2.91
Se 0.6173 0.7941 0.4102  3 Pa 2.90-2.91, 1 K 3.07
Se 0.5898 0.2071 0.3839  3 Pa 2.90-2.91, 1 K 3.07
Se 0.1327 0.2929 0.4269  3 Pa 2.90-2.91, 1 K 3.07
Se 0.5731 0.7059 0.8661  3 Pa 2.90-2.91, 1 K 3.07
Se 0.1339 0.7071 0.8398  3 Pa 2.90-2.91, 1 K 3.07
Se 0.1602 0.2941 0.8673  3 Pa 2.90-2.91, 1 K 3.07
Se 0.1769 0.7929 0.3827  3 Pa 2.90-2.91, 1 K 3.07
Se 0.6161 0.2059 0.8231  3 Pa 2.90-2.91, 1 K 3.07
K 0.0000 0.0000 0.0000  4 Se 3.07
K 0.7500 0.5000 0.2500  4 Se 3.07

=====

Record 11
Material: CrAg2Te
Method: DFT, PBE
State: relaxed

Output
E_tot: -4.42 eV/atom
D(E_F): 1.237 states/eV/f.u.
Spin magnetization: 3.7 μB per cell
Space-group type: P4mm, No. 99

abc: 3.5919 3.5919 6.3442
angles: 90.00 90.00 90.00
Closest atoms and distances in Å follow each position.
Fractional positions:
Ag 0.0000 0.0000 0.0447  4 Ag 2.84, 1 Cr 2.94
Ag 0.5000 0.5000 0.2458  4 Ag 2.84, 1 Te 2.89, 4 Cr 3.04
Cr 0.0000 0.0000 0.5086  4 Te 2.82, 5 Ag 2.94-3.04
Te 0.5000 0.5000 0.7009  4 Cr 2.82, 1 Ag 2.89

=====

Record 12
Material: Ca2Si3Pd2
Method: DFT, PBE
State: relaxed

Output
E_tot: -4.98 eV/atom
D(E_F): 2.774 states/eV/f.u.
Spin magnetization: 0.0 μB per cell
Space-group type: C2/m, No. 12

abc: 4.2886 5.5667 6.4923
angles: 114.34 90.00 112.66
Closest atoms and distances in Å follow each position.
Fractional positions:
Ca 0.8428 0.6855 0.2250  4 Pd 2.90-3.15, 5 Si 2.93-3.22
Ca 0.1572 0.3145 0.7750  4 Pd 2.90-3.15, 5 Si 2.93-3.22
Si 0.6036 0.2073 0.4385  2 Si 2.56-2.59, 3 Pd 2.58-2.61
Si 0.5000 0.0000 0.0000  2 Si 2.56, 4 Pd 2.63
Si 0.3964 0.7927 0.5615  2 Si 2.56-2.59, 3 Pd 2.58-2.61
Pd 0.1285 0.2571 0.2383  5 Si 2.58-2.63
Pd 0.8715 0.7429 0.7617  5 Si 2.58-2.63

=====

Record 13
Material: HoTeCl
Method: DFT, PBE
State: relaxed

Output
E_tot: -4.85 eV/atom
D(E_F): 0.008 states/eV/f.u.
Spin magnetization: 0.0 μB per cell
Space-group type: I-4m2, No. 119

abc: 4.1098 4.1098 11.5763
angles: 100.22 100.22 90.00
Closest atoms and distances in Å follow each position.
Fractional positions:
Cl 0.6790 0.6790 0.3580  2 Ho 2.74
Cl 0.3210 0.3210 0.6420  2 Ho 2.74
Te 0.0483 0.5483 0.0965  5 Ho 3.11-3.28
Te 0.4517 0.9517 0.9035  5 Ho 3.11-3.28
Ho 0.5983 0.0983 0.1966  2 Cl 2.74
Ho 0.9017 0.4017 0.8034  2 Cl 2.74

=====

Record 14
Material: La2NbTe2
Method: DFT, PBE
State: relaxed

Output
Energy above the most stable polymorph in this dataset: 0 meV per atom
E_tot: -5.95 eV/atom
D(E_F): 3.025 states/eV/f.u.
Spin magnetization: 1.8 μB per cell
Space-group type: P4/mbm, No. 127

abc: 7.9657 7.9657 4.4845
angles: 90.00 90.00 90.00
Closest atoms and distances in Å follow each position.
Fractional positions:
La 0.8400 0.3400 0.5000  6 Te 3.08-3.35
La 0.6600 0.8400 0.5000  6 Te 3.08-3.35
La 0.3400 0.1600 0.5000  6 Te 3.08-3.35
La 0.1600 0.6600 0.5000  6 Te 3.08-3.35
Nb 0.0000 0.0000 0.0000  4 Te 3.02
Nb 0.5000 0.5000 0.0000  4 Te 3.02
Te 0.1530 0.3470 0.0000  2 Nb 3.02, 6 La 3.08-3.35
Te 0.8470 0.6530 0.0000  2 Nb 3.02, 6 La 3.08-3.35
Te 0.6530 0.1530 0.0000  2 Nb 3.02, 6 La 3.08-3.35
Te 0.3470 0.8470 0.0000  2 Nb 3.02, 6 La 3.08-3.35

=====

Record 15
Material: TeP3
Method: DFT, PBE
State: relaxed

Output
Energy above the most stable polymorph in this dataset: 0 meV per atom
E_tot: -4.64 eV/atom
D(E_F): 0.345 states/eV/f.u.
Spin magnetization: 0.0 μB per cell
Space-group type: Cm, No. 8

abc: 7.0712 3.2935 11.0436
angles: 90.00 128.42 90.00
Closest atoms and distances in Å follow each position.
Fractional positions:
P 0.2408 0.0000 0.9422  3 P 2.19-2.25
P 0.2684 0.5000 0.8157  2 P 2.25
P 0.2684 0.0000 0.3157  2 P 2.25
P 0.2408 0.5000 0.4422  3 P 2.19-2.25
P 0.6121 0.5000 0.6574  1 P 2.19
P 0.6121 0.0000 0.1574  1 P 2.19
Te 0.8464 0.5000 0.5551  2 P 2.52-2.55
Te 0.8464 0.0000 0.0551  2 P 2.52-2.55

=====

Record 16
Material: TbCe2GaC
Method: DFT, PBE
State: relaxed

Output
DFT formation energy: -0.32 eV per atom
E_tot: -6.07 eV/atom
D(E_F): 7.916 states/eV/f.u.
Spin magnetization: 0.8 μB per cell
Space-group type: P4/mmm, No. 123

abc: 4.8814 4.8814 4.9394
angles: 90.00 90.00 90.00
Closest atoms and distances in Å follow each position.
Fractional positions:
Ce 0.0000 0.5000 0.0000  2 C 2.44
Ce 0.5000 0.0000 0.9999  2 C 2.44
C 0.0000 0.0000 0.0000  4 Ce 2.44, 2 Tb 2.47
Tb 0.0000 0.0000 0.5000  2 C 2.47
Ga 0.5000 0.5000 0.5002  4 Tb 3.45, 8 Ce 3.47

=====

Record 17
Material: MoH3Br
Method: DFT, PBE
State: relaxed

Output
Energy above the most stable polymorph in this dataset: 1157 meV per atom
E_tot: -2.71 eV/atom
D(E_F): 4.024 states/eV/f.u.
Spin magnetization: 0.0 μB per cell
Space-group type: Pm-3m, No. 221

abc: 3.6463 3.6463 3.6463
angles: 90.00 90.00 90.00
Closest atoms and distances in Å follow each position.
Fractional positions:
H 0.0000 0.0000 0.5000  2 Br 1.82
H 0.0000 0.5000 0.0000  2 Br 1.82
H 0.5000 0.0000 0.0000  2 Br 1.82
Mo 0.5000 0.5000 0.5000  12 H 2.58
Br 0.0000 0.0000 0.0000  6 H 1.82

=====

no.,density (g cm⁻³)
1,15.63
2,12.61
3,8.02
4,8.71
5,6.74
6,7.10
7,5.70
8,10.01
9,6.30
10,5.69
11,8.02
12,4.90
13,5.76
14,7.31
15,3.63
16,7.35
17,6.13